Density functional theory data (PBE) for TiInAgPt after structural relaxation.

```
data_TiInAgPt
_symmetry_space_group_name_H-M 'P 1'
_symmetry_Int_Tables_number 1
_symmetry_space_group_name_Hall 'P 1'
_cell_length_a 6.5408
_cell_length_b 6.5408
_cell_length_c 6.5408
_cell_angle_alpha 90.00
_cell_angle_beta 90.00
_cell_angle_gamma 90.00
loop_
_atom_site_label
_atom_site_type_symbol
_atom_site_fract_x
_atom_site_fract_y
_atom_site_fract_z
Ti1 Ti 0.0000 0.0000 0.0000
Ti2 Ti 0.0000 0.5000 0.5000
Ti3 Ti 0.5000 0.0000 0.5000
Ti4 Ti 0.5000 0.5000 0.0000
In1 In 0.0000 0.0000 0.5000
In2 In 0.0000 0.5000 0.0000
In3 In 0.5000 0.0000 0.0000
In4 In 0.5000 0.5000 0.5000
Ag1 Ag 0.2500 0.2500 0.7500
Ag2 Ag 0.2500 0.7500 0.2500
Ag3 Ag 0.7500 0.2500 0.2500
Ag4 Ag 0.7500 0.7500 0.7500
Pt1 Pt 0.2500 0.2500 0.2500
Pt2 Pt 0.2500 0.7500 0.7500
Pt3 Pt 0.7500 0.2500 0.7500
Pt4 Pt 0.7500 0.7500 0.2500
```

Calculated values
energy relative to the elements: -0.3914 eV/atom
density of states at the Fermi level: 0.54 states/eV per atom
energy: -21.1 eV/f.u.